# 1
Here is a geometry-optimized AgSbAs structure from Alexandria via LeMat-Bulk. Energies are from PBE.

Lattice parameters (Å, degrees): 3.074 4.273 10.990 90.00 90.00 90.00
Atoms (fractional coordinates):
Ag 0.000 0.000 0.000
Ag 0.500 0.500 0.500
Sb 0.000 0.000 0.348
Sb 0.500 0.500 0.848
As 0.000 0.000 0.599
As 0.500 0.500 0.099

Values from the calculation:
Its space-group type is Imm2, No. 44. The relative energy among the computed polymorphs is 0.123 eV/atom. The calculation puts the energy relative to the elements, uncorrected at 0.237 eV/atom. For the volume, the calculation gives 144.4 Å³/cell.

---

# 2
Here is a geometry-optimized Ag2SbAs structure from Alexandria via LeMat-Bulk. Energies are from PBE.

Lattice parameters (Å, degrees): 3.008 4.011 7.045 90.00 90.00 90.00
Atoms (fractional coordinates):
Ag 0.000 0.000 0.000
Ag 0.500 0.500 0.232
Sb 0.500 0.500 0.761
As 0.000 0.000 0.412

Values from the calculation:
Its space-group type is Pmm2, No. 25. The relative energy among the computed polymorphs is 0.046 eV/atom. The calculation puts the energy relative to the elements, uncorrected at 0.177 eV/atom. For the volume, the calculation gives 85.0 Å³/cell.

---

# 3
Here is a geometry-optimized Ag3SbAs structure from Alexandria via LeMat-Bulk. Energies are from PBE.

Lattice parameters (Å, degrees): 4.983 4.983 4.983 90.00 90.00 90.00
Atoms (fractional coordinates):
Ag 0.000 0.000 0.500
Ag 0.000 0.500 0.000
Ag 0.500 0.000 0.000
Sb 0.500 0.500 0.500
As 0.000 0.000 0.000

Values from the calculation:
Its space-group type is Pm-3m, No. 221. The relative energy among the computed polymorphs is 0.000 eV/atom. The calculation puts the energy relative to the elements, uncorrected at 0.471 eV/atom. For the volume, the calculation gives 123.8 Å³/cell.

---

# 4
Here is a geometry-optimized Ag4SbAs structure from Alexandria via LeMat-Bulk. Energies are from PBE.

Lattice parameters (Å, degrees): 5.578 5.578 5.578 60.00 60.00 60.00
Atoms (fractional coordinates):
Ag 0.125 0.125 0.125
Ag 0.125 0.125 0.625
Ag 0.125 0.625 0.125
Ag 0.625 0.125 0.125
Sb 0.500 0.500 0.500
As 0.750 0.750 0.750

Values from the calculation:
Its space-group type is F-43m, No. 216. The calculation puts the energy relative to the elements, uncorrected at 0.239 eV/atom. For the volume, the calculation gives 122.7 Å³/cell.

---

# 5
Here is a geometry-optimized AgSb3As structure from Alexandria via LeMat-Bulk. Energies are from PBE.

Lattice parameters (Å, degrees): 5.319 5.319 5.319 90.00 90.00 90.00
Atoms (fractional coordinates):
Ag 0.000 0.000 0.000
Sb 0.000 0.000 0.500
Sb 0.000 0.500 0.000
Sb 0.500 0.000 0.000
As 0.500 0.500 0.500

Values from the calculation:
Its space-group type is Pm-3m, No. 221. The relative energy among the computed polymorphs is 0.082 eV/atom. The calculation puts the energy relative to the elements, uncorrected at 0.850 eV/atom. For the volume, the calculation gives 150.5 Å³/cell.

---

# 6
Here is a geometry-optimized AgSb2As structure from Alexandria via LeMat-Bulk. Energies are from PBE.

Lattice parameters (Å, degrees): 4.230 4.481 9.922 90.00 90.00 90.00
Atoms (fractional coordinates):
Ag 0.000 0.000 0.000
Ag 0.500 0.500 0.000
Sb 0.000 0.000 0.535
Sb 0.000 0.500 0.235
Sb 0.500 0.000 0.235
Sb 0.500 0.500 0.535
As 0.000 0.500 0.804
As 0.500 0.000 0.804

Values from the calculation:
Its space-group type is Cmm2, No. 35. The relative energy among the computed polymorphs is 0.164 eV/atom. The calculation puts the energy relative to the elements, uncorrected at 0.263 eV/atom. For the volume, the calculation gives 188.1 Å³/cell.

---

# 7
Here is a geometry-optimized Ag2SbAs structure from Alexandria via LeMat-Bulk. Energies are from PBE.

Lattice parameters (Å, degrees): 3.025 4.110 6.960 90.00 102.25 90.00
Atoms (fractional coordinates):
Ag 0.000 0.000 0.000
Ag 0.393 0.500 0.782
Sb 0.761 0.000 0.523
As 0.605 0.500 0.209

Values from the calculation:
Its space-group type is Pm, No. 6. The relative energy among the computed polymorphs is 0.000 eV/atom. The calculation puts the energy relative to the elements, uncorrected at 0.130 eV/atom. For the volume, the calculation gives 84.6 Å³/cell.

---

# 8
Here is a geometry-optimized Ag2SbAs2 structure from Alexandria via LeMat-Bulk. Energies are from PBE.

Lattice parameters (Å, degrees): 8.297 8.297 3.019 90.00 90.00 90.00
Atoms (fractional coordinates):
Ag 0.157 0.343 0.000
Ag 0.343 0.843 0.000
Ag 0.657 0.157 0.000
Ag 0.843 0.657 0.000
Sb 0.000 0.000 0.000
Sb 0.500 0.500 0.000
As 0.137 0.637 0.500
As 0.363 0.137 0.500
As 0.637 0.863 0.500
As 0.863 0.363 0.500

Values from the calculation:
Its space-group type is P4/mbm, No. 127. The relative energy among the computed polymorphs is 0.062 eV/atom. The calculation puts the energy relative to the elements, uncorrected at 0.259 eV/atom. For the volume, the calculation gives 207.8 Å³/cell.

---

# 9
Here is a geometry-optimized AgSbAs2 structure from Alexandria via LeMat-Bulk. Energies are from PBE.

Lattice parameters (Å, degrees): 4.129 4.283 9.742 90.00 90.00 90.00
Atoms (fractional coordinates):
Ag 0.000 0.000 0.000
Ag 0.500 0.500 0.000
Sb 0.000 0.000 0.500
Sb 0.500 0.500 0.500
As 0.000 0.500 0.214
As 0.000 0.500 0.786
As 0.500 0.000 0.214
As 0.500 0.000 0.786

Values from the calculation:
Its space-group type is Cmmm, No. 65. The relative energy among the computed polymorphs is 0.188 eV/atom. The calculation puts the energy relative to the elements, uncorrected at 0.311 eV/atom. For the volume, the calculation gives 172.3 Å³/cell.

---

# 10
Here is a geometry-optimized Ag2SbAs2 structure from Alexandria via LeMat-Bulk. Energies are from PBE.

Lattice parameters (Å, degrees): 4.526 4.526 10.833 90.00 90.00 90.00
Atoms (fractional coordinates):
Ag 0.000 0.500 0.250
Ag 0.000 0.500 0.750
Ag 0.500 0.000 0.250
Ag 0.500 0.000 0.750
Sb 0.000 0.000 0.000
Sb 0.500 0.500 0.500
As 0.000 0.000 0.388
As 0.000 0.000 0.612
As 0.500 0.500 0.112
As 0.500 0.500 0.888

Values from the calculation:
Its space-group type is I4/mmm, No. 139. The relative energy among the computed polymorphs is 0.099 eV/atom. The calculation puts the energy relative to the elements, uncorrected at 0.296 eV/atom. For the volume, the calculation gives 221.9 Å³/cell.

---

# 11
Here is a geometry-optimized AgSbAs2 structure from Alexandria via LeMat-Bulk. Energies are from PBE.

Lattice parameters (Å, degrees): 3.506 5.309 9.353 90.00 90.00 90.00
Atoms (fractional coordinates):
Ag 0.000 0.000 0.000
Ag 0.500 0.500 0.000
Sb 0.000 0.500 0.255
Sb 0.500 0.000 0.255
As 0.000 0.000 0.548
As 0.000 0.500 0.752
As 0.500 0.000 0.752
As 0.500 0.500 0.548

Values from the calculation:
Its space-group type is Cmm2, No. 35. The relative energy among the computed polymorphs is 0.211 eV/atom. The calculation puts the energy relative to the elements, uncorrected at 0.334 eV/atom. For the volume, the calculation gives 174.1 Å³/cell.

---

# 12
Here is a geometry-optimized AgSbAs4 structure from Alexandria via LeMat-Bulk. Energies are from PBE.

Lattice parameters (Å, degrees): 5.666 5.666 5.666 60.00 60.00 60.00
Atoms (fractional coordinates):
Ag 0.000 0.000 0.000
Sb 0.250 0.250 0.250
As 0.122 0.626 0.626
As 0.626 0.122 0.626
As 0.626 0.626 0.122
As 0.626 0.626 0.626

Values from the calculation:
Its space-group type is F-43m, No. 216. The calculation puts the energy relative to the elements, uncorrected at 0.475 eV/atom. For the volume, the calculation gives 128.6 Å³/cell.

---

# 13
Here is a geometry-optimized Ag2SbAs structure from Alexandria via LeMat-Bulk. Energies are from PBE.

Lattice parameters (Å, degrees): 6.960 6.960 6.960 90.00 90.00 90.00
Atoms (fractional coordinates):
Ag 0.250 0.250 0.250
Ag 0.250 0.250 0.750
Ag 0.250 0.750 0.250
Ag 0.250 0.750 0.750
Ag 0.750 0.250 0.250
Ag 0.750 0.250 0.750
Ag 0.750 0.750 0.250
Ag 0.750 0.750 0.750
Sb 0.000 0.000 0.000
Sb 0.000 0.500 0.500
Sb 0.500 0.000 0.500
Sb 0.500 0.500 0.000
As 0.000 0.000 0.500
As 0.000 0.500 0.000
As 0.500 0.000 0.000
As 0.500 0.500 0.500

Values from the calculation:
Its space-group type is Fm-3m, No. 225. The relative energy among the computed polymorphs is 0.132 eV/atom. The calculation puts the energy relative to the elements, uncorrected at 0.262 eV/atom. For the volume, the calculation gives 337.1 Å³/cell.

---

# 14
Here is a geometry-optimized Ag3SbAs structure from Alexandria via LeMat-Bulk. Energies are from PBE.

Lattice parameters (Å, degrees): 5.280 5.280 5.280 90.00 90.00 90.00
Atoms (fractional coordinates):
Ag 0.000 0.000 0.500
Ag 0.000 0.500 0.000
Ag 0.500 0.000 0.000
Sb 0.000 0.000 0.000
As 0.500 0.500 0.500

Values from the calculation:
Its space-group type is Pm-3m, No. 221. The relative energy among the computed polymorphs is 0.286 eV/atom. The calculation puts the energy relative to the elements, uncorrected at 0.757 eV/atom. For the volume, the calculation gives 147.2 Å³/cell.

---

# 15
Here is a geometry-optimized Ag2SbAs structure from Alexandria via LeMat-Bulk. Energies are from PBE.

Lattice parameters (Å, degrees): 6.079 8.632 3.199 90.00 91.83 90.00
Atoms (fractional coordinates):
Ag 0.250 0.250 0.000
Ag 0.250 0.750 0.000
Ag 0.750 0.250 0.000
Ag 0.750 0.750 0.000
Sb 0.000 0.000 0.500
Sb 0.500 0.500 0.500
As 0.000 0.500 0.500
As 0.500 0.000 0.500

Values from the calculation:
Its space-group type is C2/m, No. 12. The relative energy among the computed polymorphs is 0.078 eV/atom. The calculation puts the energy relative to the elements, uncorrected at 0.208 eV/atom. For the volume, the calculation gives 167.8 Å³/cell.